1.
Crystalline In2PbAu at its relaxed geometry, computed with GGA-PBE.

abc: 4.4772 8.3810 5.8722
angles: 90.00 112.32 90.00
Last column: nearest neighbours and their distance in Å.
Positions (direct):
In  0.1432  0.0459  0.2774  3 Au 2.93-2.95, 1 In 3.11
In  0.1432  0.4541  0.2774  3 Au 2.93-2.95, 1 In 3.11
In  0.8568  0.5459  0.7226  3 Au 2.93-2.95, 1 In 3.11
In  0.8568  0.9541  0.7226  3 Au 2.93-2.95, 1 In 3.11
Pb  0.4324  0.2500  0.8622  3 Au 3.08-3.26, 4 In 3.41-3.44
Pb  0.5676  0.7500  0.1378  3 Au 3.08-3.26, 4 In 3.41-3.44
Au  0.2785  0.7500  0.5701  6 In 2.93-2.95, 3 Pb 3.08-3.26
Au  0.7215  0.2500  0.4299  6 In 2.93-2.95, 3 Pb 3.08-3.26

Its space-group type is P2_1/m, No. 11. As for the formation energy from the elements: -0.0993 eV/atom. As for the calculated total energy: -3.215 eV per atom. The crystal system is monoclinic.

***

2.
Crystalline K2CdNi2 at its relaxed geometry, computed with GGA-PBE.

abc: 9.5471 9.5471 2.8043
angles: 90.00 90.00 90.00
Last column: nearest neighbours and their distance in Å.
Positions (direct):
K  0.1347  0.3653  0.0000  2 K 2.80, 2 Ni 3.03
K  0.3653  0.8653  0.0000  2 K 2.80, 2 Ni 3.03
K  0.6347  0.1347  0.0000  2 K 2.80, 2 Ni 3.03
K  0.8653  0.6347  0.0000  2 K 2.80, 2 Ni 3.03
Cd  0.0000  0.0000  0.0000  2 Cd 2.80
Cd  0.5000  0.5000  0.0000  2 Cd 2.80
Ni  0.1665  0.6665  0.5000  2 Ni 2.80, 2 K 3.03
Ni  0.3335  0.1665  0.5000  2 Ni 2.80, 2 K 3.03
Ni  0.6665  0.8335  0.5000  2 Ni 2.80, 2 K 3.03
Ni  0.8335  0.3335  0.5000  2 Ni 2.80, 2 K 3.03

The energy above the most stable polymorph in this dataset is 469 meV per atom. Its space-group type is P4/mbm, No. 127. As for the formation energy from the elements: 0.8627 eV/atom. As for the calculated total energy: -2.072 eV per atom. The crystal system is tetragonal.

***

3.
Crystalline HfVGaTc at its relaxed geometry, computed with GGA-PBE.

abc: 4.4946 4.4946 4.4946
angles: 60.00 60.00 60.00
Last column: nearest neighbours and their distance in Å.
Positions (direct):
Hf  0.0000  0.0000  0.0000  4 Tc 2.75, 4 Ga 2.75
V  0.5000  0.5000  0.5000  4 Tc 2.75, 4 Ga 2.75
Ga  0.2500  0.2500  0.2500  4 Hf 2.75, 4 V 2.75
Tc  0.7500  0.7500  0.7500  4 V 2.75, 4 Hf 2.75

Its space-group type is F-43m, No. 216. As for the formation energy from the elements: -0.1819 eV/atom. As for the calculated total energy: -8.298 eV per atom. The crystal system is cubic.

***

4.
Crystalline Ac3As4Rh2 at its relaxed geometry, computed with GGA-PBE.

abc: 6.4328 6.4328 9.0817
angles: 112.22 112.22 40.64
Last column: nearest neighbours and their distance in Å.
Positions (direct):
Ac  0.0000  0.0000  0.0000  6 As 3.13-3.28
Ac  0.3713  0.3713  0.2947  5 As 3.07-3.38, 1 Rh 3.27
Ac  0.6287  0.6287  0.7053  5 As 3.07-3.38, 1 Rh 3.27
As  0.0990  0.0990  0.3939  3 Rh 2.51
As  0.3015  0.3015  0.8954  1 Rh 2.60
As  0.6985  0.6985  0.1046  1 Rh 2.60
As  0.9010  0.9010  0.6061  3 Rh 2.51
Rh  0.3083  0.3083  0.6131  4 As 2.51-2.60
Rh  0.6917  0.6917  0.3869  4 As 2.51-2.60

The energy above the most stable polymorph in this dataset is 38 meV per atom. Its space-group type is C2/m, No. 12. As for the formation energy from the elements: -1.0262 eV/atom. As for the calculated total energy: -6.096 eV per atom. The crystal system is monoclinic.

***

5.
Crystalline CsU2TiO8 at its relaxed geometry, computed with GGA-PBE.

abc: 4.5067 4.5168 10.3395
angles: 98.86 92.91 90.93
Last column: nearest neighbours and their distance in Å.
Positions (direct):
Cs  0.0000  0.0000  0.0000  4 O 3.19-3.27
U  0.4075  0.4483  0.6722  2 O 1.88-2.00
U  0.5925  0.5517  0.3278  2 O 1.88-2.00
Ti  0.0000  0.0000  0.5000  6 O 1.93-2.02
O  0.1292  0.6985  0.3494  1 Ti 2.02, 1 U 2.21
O  0.2613  0.9034  0.6512  1 Ti 2.02, 1 U 2.21
O  0.3039  0.2951  0.4831  1 Ti 1.93, 1 U 2.00
O  0.4627  0.5549  0.8550  1 U 1.88
O  0.5373  0.4451  0.1450  1 U 1.88
O  0.6961  0.7049  0.5169  1 Ti 1.93, 1 U 2.00
O  0.7387  0.0966  0.3488  1 Ti 2.02, 1 U 2.21
O  0.8708  0.3015  0.6506  1 Ti 2.02, 1 U 2.21

Its space-group type is P-1, No. 2. As for the calculated total energy: -8.728 eV per atom. The crystal system is triclinic.

***

6.
Crystalline HoNiP2 at its relaxed geometry, computed with GGA-PBE.

abc: 5.3246 5.3246 5.3246
angles: 138.20 138.20 60.59
Last column: nearest neighbours and their distance in Å.
Positions (direct):
Ho  0.0000  0.0000  0.0000  8 P 2.92, 4 Ni 2.98
Ni  0.7500  0.2500  0.5000  4 P 2.22
P  0.3755  0.3755  0.0000  2 Ni 2.22, 1 P 2.29
P  0.6245  0.6245  0.0000  2 Ni 2.22, 1 P 2.29

Its space-group type is I-4m2, No. 119. As for the formation energy from the elements: -1.0339 eV/atom. As for the calculated total energy: -6.329 eV per atom. The crystal system is tetragonal.

***

So what do the calculations give for DOS at the Fermi energy? Going down the list: 3.55, 14.21, 3.13, 5.55, 5.55, 1.75 states/eV/cell.